Below is an optimized crystal structure of DyLuBeZn, with properties calculated at the PBE level.

Output
DOS(E_F)   3.7 states/eV/f.u.
Energy of formation from the pure elements   -0.1224 eV/atom
SG   No. 216
Magnetic moment   0.000 μB/atom

The structure in CIF format:
```
data_DyLuBeZn
_chemical_formula_sum 'Dy1 Lu1 Be1 Zn1'
_space_group_name_H-M_alt 'P 1'
_space_group_IT_number 1
_space_group_name_Hall 'P 1'
_cell_length_a 4.8891
_cell_length_b 4.8891
_cell_length_c 4.8891
_cell_angle_alpha 60.00
_cell_angle_beta 60.00
_cell_angle_gamma 60.00
loop_
_atom_site_label
_atom_site_type_symbol
_atom_site_fract_x
_atom_site_fract_y
_atom_site_fract_z
_atom_site_occupancy
Dy1 Dy 0.0000 0.0000 0.0000 1
Lu1 Lu 0.5000 0.5000 0.5000 1
Be1 Be 0.2500 0.2500 0.2500 1
Zn1 Zn 0.7500 0.7500 0.7500 1
```

***

Below is an optimized crystal structure of Dy12Mg5Be3, with properties calculated at the PBE level.

Output
DOS(E_F)   21.6 states/eV/f.u.
Energy of formation from the pure elements   0.7079 eV/atom
SG   No. 230
Magnetic moment   0.000 μB/atom

The structure in CIF format:
```
data_Dy12Mg5Be3
_chemical_formula_sum 'Dy48 Mg20 Be12'
_space_group_name_H-M_alt 'P 1'
_space_group_IT_number 1
_space_group_name_Hall 'P 1'
_cell_length_a 15.0655
_cell_length_b 15.0655
_cell_length_c 15.0655
_cell_angle_alpha 109.47
_cell_angle_beta 109.47
_cell_angle_gamma 109.47
loop_
_atom_site_label
_atom_site_type_symbol
_atom_site_fract_x
_atom_site_fract_y
_atom_site_fract_z
_atom_site_occupancy
Dy1 Dy 0.0607 0.6370 0.4024 1
Dy2 Dy 0.0607 0.9238 0.6583 1
Dy3 Dy 0.0762 0.2346 0.1370 1
Dy4 Dy 0.0762 0.3417 0.9393 1
Dy5 Dy 0.0976 0.7346 0.6583 1
Dy6 Dy 0.0976 0.8630 0.4393 1
Dy7 Dy 0.1370 0.0762 0.2346 1
Dy8 Dy 0.1370 0.5607 0.9024 1
Dy9 Dy 0.1583 0.2346 0.5976 1
Dy10 Dy 0.1583 0.4238 0.5607 1
Dy11 Dy 0.2346 0.1370 0.0762 1
Dy12 Dy 0.2346 0.5976 0.1583 1
Dy13 Dy 0.2654 0.3417 0.9024 1
Dy14 Dy 0.2654 0.4238 0.3630 1
Dy15 Dy 0.3417 0.9024 0.2654 1
Dy16 Dy 0.3417 0.9393 0.0762 1
Dy17 Dy 0.3630 0.2654 0.4238 1
Dy18 Dy 0.3630 0.5976 0.9393 1
Dy19 Dy 0.4024 0.0607 0.6370 1
Dy20 Dy 0.4024 0.8417 0.7654 1
Dy21 Dy 0.4238 0.3630 0.2654 1
Dy22 Dy 0.4238 0.5607 0.1583 1
Dy23 Dy 0.4393 0.0976 0.8630 1
Dy24 Dy 0.4393 0.8417 0.5762 1
Dy25 Dy 0.5607 0.1583 0.4238 1
Dy26 Dy 0.5607 0.9024 0.1370 1
Dy27 Dy 0.5762 0.4393 0.8417 1
Dy28 Dy 0.5762 0.6370 0.7346 1
Dy29 Dy 0.5976 0.1583 0.2346 1
Dy30 Dy 0.5976 0.9393 0.3630 1
Dy31 Dy 0.6370 0.4024 0.0607 1
Dy32 Dy 0.6370 0.7346 0.5762 1
Dy33 Dy 0.6583 0.0607 0.9238 1
Dy34 Dy 0.6583 0.0976 0.7346 1
Dy35 Dy 0.7346 0.5762 0.6370 1
Dy36 Dy 0.7346 0.6583 0.0976 1
Dy37 Dy 0.7654 0.4024 0.8417 1
Dy38 Dy 0.7654 0.8630 0.9238 1
Dy39 Dy 0.8417 0.5762 0.4393 1
Dy40 Dy 0.8417 0.7654 0.4024 1
Dy41 Dy 0.8630 0.4393 0.0976 1
Dy42 Dy 0.8630 0.9238 0.7654 1
Dy43 Dy 0.9024 0.1370 0.5607 1
Dy44 Dy 0.9024 0.2654 0.3417 1
Dy45 Dy 0.9238 0.6583 0.0607 1
Dy46 Dy 0.9238 0.7654 0.8630 1
Dy47 Dy 0.9393 0.0762 0.3417 1
Dy48 Dy 0.9393 0.3630 0.5976 1
Mg1 Mg 0.0000 0.0000 0.0000 1
Mg2 Mg 0.0000 0.0000 0.5000 1
Mg3 Mg 0.0000 0.5000 0.0000 1
Mg4 Mg 0.0000 0.5000 0.5000 1
Mg5 Mg 0.1250 0.7500 0.8750 1
Mg6 Mg 0.1250 0.8750 0.2500 1
Mg7 Mg 0.2500 0.1250 0.8750 1
Mg8 Mg 0.2500 0.6250 0.3750 1
Mg9 Mg 0.3750 0.2500 0.6250 1
Mg10 Mg 0.3750 0.6250 0.7500 1
Mg11 Mg 0.5000 0.0000 0.0000 1
Mg12 Mg 0.5000 0.0000 0.5000 1
Mg13 Mg 0.5000 0.5000 0.0000 1
Mg14 Mg 0.5000 0.5000 0.5000 1
Mg15 Mg 0.6250 0.3750 0.2500 1
Mg16 Mg 0.6250 0.7500 0.3750 1
Mg17 Mg 0.7500 0.3750 0.6250 1
Mg18 Mg 0.7500 0.8750 0.1250 1
Mg19 Mg 0.8750 0.1250 0.7500 1
Mg20 Mg 0.8750 0.2500 0.1250 1
Be1 Be 0.1250 0.2500 0.3750 1
Be2 Be 0.1250 0.3750 0.7500 1
Be3 Be 0.2500 0.3750 0.1250 1
Be4 Be 0.2500 0.8750 0.6250 1
Be5 Be 0.3750 0.1250 0.2500 1
Be6 Be 0.3750 0.7500 0.1250 1
Be7 Be 0.6250 0.2500 0.8750 1
Be8 Be 0.6250 0.8750 0.7500 1
Be9 Be 0.7500 0.1250 0.3750 1
Be10 Be 0.7500 0.6250 0.8750 1
Be11 Be 0.8750 0.6250 0.2500 1
Be12 Be 0.8750 0.7500 0.6250 1
```